Material: Dy2YGa5
Method: DFT, PBE
State: relaxed

```
Dy2YGa5
1.0
4.780 0.000 0.000
0.000 3.683 4.865
0.000 -3.683 4.865
Ga Y Dy
5 1 2
Direct
0.500 0.152 0.630 Ga
0.000 0.392 0.824 Ga
0.000 0.824 0.392 Ga
0.500 0.124 0.124 Ga
0.500 0.630 0.152 Ga
0.000 0.904 0.904 Y
0.000 0.325 0.325 Dy
0.500 0.648 0.648 Dy
```

Calculated values
calculated total energy: -4.3525 eV per atom
space-group type: Amm2 (38)
crystal system: orthorhombic

Material: Hf2BSb
Method: DFT, PBE
State: relaxed

```
Hf2BSb
1.0
3.502 0.000 0.000
-1.751 3.033 0.000
0.000 0.000 13.977
B Hf Sb
2 4 2
Direct
0.000 0.000 0.500 B
0.000 0.000 0.000 B
0.333 0.667 0.090 Hf
0.667 0.333 0.910 Hf
0.667 0.333 0.590 Hf
0.333 0.667 0.410 Hf
0.333 0.667 0.750 Sb
0.667 0.333 0.250 Sb
```

Calculated values
calculated total energy: -8.3172 eV per atom
space-group type: P6_3/mmc (194)
crystal system: hexagonal

Material: CsLiW
Method: DFT, PBE
State: relaxed

```
CsLiW
1.0
-0.476 -4.712 -2.805
-4.261 -0.761 -3.399
0.799 -0.054 -5.445
W Li Cs
1 1 1
Direct
0.000 0.000 0.000 W
0.750 0.750 0.750 Li
0.250 0.250 0.250 Cs
```

Calculated values
polymorph energy (0 for the lowest one): 48 meV/atom
space-group type: F-43m (216)
crystal system: cubic

Material: Ta4Ni3Mo2C3
Method: DFT, PBE
State: relaxed

```
Ta4Ni3Mo2C3
1.0
0.894 4.232 -3.010
-3.639 1.717 -3.403
-4.152 5.680 11.531
C Ta Ni Mo
6 8 6 4
Direct
0.186 0.656 0.499 C
0.814 0.344 0.501 C
0.500 0.000 0.500 C
0.344 0.814 0.001 C
0.656 0.186 0.999 C
0.000 0.500 0.000 C
0.977 0.797 0.910 Ta
0.863 0.697 0.591 Ta
0.203 0.023 0.590 Ta
0.303 0.137 0.909 Ta
0.697 0.863 0.091 Ta
0.023 0.203 0.090 Ta
0.137 0.303 0.409 Ta
0.797 0.977 0.410 Ta
0.098 0.409 0.749 Ni
0.907 0.093 0.250 Ni
0.409 0.098 0.249 Ni
0.591 0.902 0.751 Ni
0.902 0.591 0.251 Ni
0.093 0.907 0.750 Ni
0.614 0.459 0.879 Mo
0.459 0.614 0.379 Mo
0.541 0.386 0.621 Mo
0.386 0.541 0.121 Mo
```

Calculated values
calculated total energy: -9.5805 eV per atom
space-group type: C2/c (15)
crystal system: monoclinic

Material: NdSc
Method: DFT, PBE
State: relaxed

```
NdSc
1.0
0.000 3.227 3.227
3.227 0.000 3.227
3.227 3.227 0.000
Sc Nd
1 1
Direct
0.250 0.250 0.250 Sc
0.000 0.000 0.000 Nd
```

Calculated values
energy relative to the elements: 1.78 eV/atom
polymorph energy (0 for the lowest one): 1683 meV/atom
space-group type: F-43m (216)
crystal system: cubic

Material: Cs4Ag2BiSb
Method: DFT, PBE
State: relaxed

```
Cs4Ag2BiSb
1.0
6.942 0.000 0.000
0.000 5.852 4.291
0.000 -5.852 4.291
Cs Ag Sb Bi
4 2 1 1
Direct
0.500 0.515 0.175 Cs
0.000 0.825 0.489 Cs
0.500 0.175 0.515 Cs
0.000 0.489 0.825 Cs
0.746 0.997 0.997 Ag
0.254 0.997 0.997 Ag
0.500 0.750 0.750 Sb
0.000 0.252 0.252 Bi
```

Calculated values
calculated total energy: -2.5217 eV per atom
space-group type: Amm2 (38)
crystal system: orthorhombic

Material: Sr3PtO
Method: DFT, PBE
State: relaxed

```
Sr3PtO
1.0
5.006 0.000 0.000
0.000 5.006 0.000
0.000 0.000 5.006
Pt Sr O
1 3 1
Direct
0.500 0.500 0.500 Pt
0.000 0.500 0.000 Sr
0.000 0.000 0.500 Sr
0.500 0.000 0.000 Sr
0.000 0.000 0.000 O
```

Calculated values
calculated total energy: -4.5446 eV per atom
space-group type: Pm-3m (221)
crystal system: cubic

Material: RbHfAgTe3
Method: DFT, PBE
State: relaxed

```
RbHfAgTe3
1.0
-15.120 -5.366 -3.485
-0.722 -0.645 4.125
-3.981 10.595 0.960
Te Hf Ag Rb
12 4 4 4
Direct
0.631 0.750 0.729 Te
0.085 0.250 0.066 Te
0.369 0.250 0.271 Te
0.915 0.750 0.934 Te
0.901 0.250 0.636 Te
0.415 0.750 0.566 Te
0.585 0.250 0.434 Te
0.401 0.250 0.864 Te
0.099 0.750 0.364 Te
0.869 0.250 0.229 Te
0.599 0.750 0.136 Te
0.131 0.750 0.771 Te
0.014 0.250 0.824 Hf
0.486 0.750 0.324 Hf
0.514 0.250 0.676 Hf
0.986 0.750 0.176 Hf
0.486 0.250 0.092 Ag
0.514 0.750 0.908 Ag
0.986 0.250 0.408 Ag
0.014 0.750 0.592 Ag
0.233 0.250 0.548 Rb
0.267 0.750 0.048 Rb
0.733 0.250 0.952 Rb
0.767 0.750 0.452 Rb
```

Calculated values
polymorph energy (0 for the lowest one): 0 meV/atom
space-group type: Pnma (62)
crystal system: orthorhombic